No. 1
A relaxed K2AgTe2 crystal, computed with GGA-PBEsol.

```
5
Lattice="-2.206 -2.676 -5.379 6.307 -0.526 0.949 -1.957 -2.743 5.441" Properties=species:S:1:pos:R:3 pbc="T T T"
K -0.994 -3.526 1.629
K 3.138 -2.418 -0.617
Te 1.358 -1.020 1.995
Te 2.992 -2.248 4.395
Ag 0.000 0.000 0.000
```

Calculated values
* raw formation energy: -0.41 eV/atom
* density: 3.74 Mg/m³
* E_tot: -2.9388 eV per atom
* symmetry: I4/mmm, No. 139
* V: 195.92 Å³/cell


No. 2
A relaxed K2AgTe crystal, computed with GGA-PBEsol.

```
4
Lattice="-3.199 -1.641 -3.745 4.739 -3.314 1.002 -0.796 -4.414 2.614" Properties=species:S:1:pos:R:3 pbc="T T T"
K -0.627 -6.198 -0.347
K 1.371 -3.171 0.218
Ag -1.998 -3.027 -0.565
Te 0.000 0.000 0.000
```

Calculated values
* raw formation energy: -0.32 eV/atom
* density: 4.22 Mg/m³
* E_tot: -2.6009 eV per atom
* symmetry: I4/mmm, No. 139
* V: 123.42 Å³/cell


No. 3
A relaxed K2AgTe crystal, computed with GGA-PBEsol.

```
4
Lattice="3.216 0.000 0.000 -1.608 4.652 0.050 0.000 -0.940 8.911" Properties=species:S:1:pos:R:3 pbc="T T T"
Te 1.608 0.000 0.000
K 0.000 2.063 2.205
K 1.608 1.649 6.756
Ag 0.000 -0.470 4.455
```

Calculated values
* raw formation energy: -0.22 eV/atom
* density: 3.90 Mg/m³
* E_tot: -2.5000 eV per atom
* symmetry: C2/m, No. 12
* V: 133.46 Å³/cell


No. 4
A relaxed KAg2W crystal, computed with GGA-PBEsol.

```
4
Lattice="2.698 0.000 0.000 0.000 5.190 0.000 -1.349 -2.595 5.633" Properties=species:S:1:pos:R:3 pbc="T T T"
Ag 1.349 0.000 2.528
Ag 0.000 0.000 0.004
K 0.000 0.000 5.570
W 0.000 2.595 3.164
```

Calculated values
* density: 9.24 Mg/m³
* E_tot: -4.4348 eV per atom
* energy of formation from the pure elements: 0.96 eV/atom
* symmetry: Imm2, No. 44
* excess energy over the best structure of this formula in the dataset: 165.4 meV per atom
* V: 78.86 Å³/cell


No. 5
A relaxed KAgW2 crystal, computed with GGA-PBEsol.

```
4
Lattice="-2.124 -1.137 1.380 1.535 -1.975 -1.204 5.895 -0.632 8.553" Properties=species:S:1:pos:R:3 pbc="T T T"
Ag 3.130 -0.336 4.541
K 1.198 -1.716 2.253
W 5.654 -0.606 8.203
W 4.167 -2.034 6.562
```

Calculated values
* density: 11.36 Mg/m³
* E_tot: -7.2835 eV per atom
* energy of formation from the pure elements: 0.73 eV/atom
* symmetry: Cmm2, No. 35
* V: 75.23 Å³/cell


No. 6
A relaxed KAg3W crystal, computed with GGA-PBEsol.

```
5
Lattice="5.001 0.000 0.000 0.000 5.001 0.000 0.000 0.000 5.001" Properties=species:S:1:pos:R:3 pbc="T T T"
Ag 2.500 0.000 0.000
Ag 0.000 2.500 0.000
Ag 0.000 0.000 2.500
K 0.000 0.000 0.000
W 2.500 2.500 2.500
```

Calculated values
* density: 7.26 Mg/m³
* E_tot: -2.6249 eV per atom
* energy of formation from the pure elements: 2.35 eV/atom
* symmetry: Pm-3m, No. 221
* V: 125.05 Å³/cell


No. 7
A relaxed KAg2W crystal, computed with GGA-PBEsol.

```
4
Lattice="2.775 0.000 0.000 0.000 2.775 0.000 0.000 0.000 9.969" Properties=species:S:1:pos:R:3 pbc="T T T"
W 1.387 1.387 7.871
Ag 1.387 1.387 2.115
Ag 0.000 0.000 0.017
K 0.000 0.000 4.951
```

Calculated values
* density: 9.49 Mg/m³
* E_tot: -4.6002 eV per atom
* energy of formation from the pure elements: 0.79 eV/atom
* symmetry: P4mm, No. 99
* excess energy over the best structure of this formula in the dataset: 0.0 meV per atom
* V: 76.76 Å³/cell


No. 8
A relaxed KYAg2 crystal, computed with GGA-PBEsol.

```
4
Lattice="-3.151 0.660 0.507 -0.613 -4.840 2.488 3.015 3.347 3.912" Properties=species:S:1:pos:R:3 pbc="T T T"
K 1.107 1.383 5.083
Y 0.298 -1.930 4.361
Ag -1.113 0.628 2.740
Ag -0.520 -4.497 2.621
```

Calculated values
* density: 5.78 Mg/m³
* E_tot: -3.5216 eV per atom
* energy of formation from the pure elements: 0.12 eV/atom
* symmetry: Cm, No. 8
* V: 98.77 Å³/cell